Material: PrSbTe
Method: DFT, GGA-PBE
State: relaxed Values from VASP.

Computed properties:
DFT total energy = -4.833 eV per atom
SG = P4/nmm (129)
Total moment = 0.00 μB/f.u.

```
&SYSTEM
  ibrav = 0, nat = 6, ntyp = 3
/
ATOMIC_SPECIES
Pr 140.91 Pr.upf
Sb 121.76 Sb.upf
Te 127.60 Te.upf
ATOMIC_POSITIONS angstrom
Pr 0.0000 2.2347 2.5434
Pr 2.2347 0.0000 6.7505
Sb 2.2347 0.0000 3.4483
Sb 0.0000 2.2347 5.8456
Te 0.0000 0.0000 0.0000
Te 2.2347 2.2347 0.0000
CELL_PARAMETERS angstrom
4.4694 0.0000 0.0000
0.0000 4.4694 0.0000
0.0000 0.0000 9.2939
```

Material: Pr3Sb2Te
Method: DFT, GGA-PBE
State: relaxed Values from VASP.

Computed properties:
Offset from the most stable computed form = 6 meV per atom
SG = P-3m1 (164)
Total moment = 0.01 μB/f.u.

```
&SYSTEM
  ibrav = 0, nat = 6, ntyp = 3
/
ATOMIC_SPECIES
Pr 140.91 Pr.upf
Sb 121.76 Sb.upf
Te 127.60 Te.upf
ATOMIC_POSITIONS angstrom
Pr 0.0000 0.0000 0.0000
Pr -0.3367 2.6325 3.5954
Pr -0.1316 7.3356 3.1577
Sb -1.9078 2.4438 0.8534
Sb 1.4396 7.5243 5.8998
Te 1.7407 4.7938 2.2581
CELL_PARAMETERS angstrom
-3.5064 2.1796 -1.9242
-0.4433 -1.7991 4.1611
3.4814 9.5876 4.5163
```

Material: PrTlSbTe3
Method: DFT, GGA-PBE
State: relaxed Values from VASP.

Computed properties:
DFT total energy = -3.988 eV per atom
SG = Cmcm (63)
Total moment = 0.00 μB/f.u.

```
&SYSTEM
  ibrav = 0, nat = 12, ntyp = 4
/
ATOMIC_SPECIES
Pr 140.91 Pr.upf
Sb 121.76 Sb.upf
Te 127.60 Te.upf
Tl 204.38 Tl.upf
ATOMIC_POSITIONS angstrom
Pr 0.0000 0.0000 0.0000
Pr 2.3085 3.4068 3.9393
Sb -0.9799 1.9893 2.9730
Sb 1.4123 6.2969 6.0842
Te -2.0743 -0.6711 2.4115
Te -1.3633 -2.1348 6.7643
Te -0.1108 2.2266 5.7621
Te 0.5431 6.0595 3.2951
Te 1.7957 10.4210 2.2929
Te 2.5067 8.9572 6.6457
Tl -0.6482 5.5580 -0.3077
Tl 1.0805 2.7282 9.3649
CELL_PARAMETERS angstrom
-1.5474 6.5982 -4.7995
-2.6372 -5.1256 5.9782
4.6169 6.8136 7.8785
```

Material: Pr5ThSb6
Method: DFT, GGA-PBE
State: relaxed Values from VASP.

Computed properties:
DFT total energy = -5.836 eV per atom
SG = C2/m (12)
Total moment = 0.01 μB/f.u.

```
&SYSTEM
  ibrav = 0, nat = 12, ntyp = 3
/
ATOMIC_SPECIES
Pr 140.91 Pr.upf
Sb 121.76 Sb.upf
Th 232.04 Th.upf
ATOMIC_POSITIONS angstrom
Pr -1.5548 -2.8976 3.1404
Pr 1.3093 -4.3540 -0.0638
Pr -0.0640 -0.1297 6.4219
Pr 2.7974 -1.5848 3.2208
Pr 5.6587 -3.0398 0.0197
Sb -0.0327 -0.0606 3.1894
Sb 2.8117 -1.5071 0.0072
Sb 1.2663 -4.4445 3.1521
Sb 4.3284 1.2750 3.2895
Sb 2.7830 -1.6625 6.4344
Sb 5.6275 -3.1090 3.2522
Th 0.0000 0.0000 0.0000
CELL_PARAMETERS angstrom
-4.4280 -1.4365 6.3548
4.1825 -5.8151 -3.2782
5.8403 4.0820 3.3649
```

Material: PrTmZr2Sb2
Method: DFT, GGA-PBE
State: relaxed Values from VASP.

Computed properties:
DFT total energy = -6.540 eV per atom
SG = I4mm (107)
Total moment = 0.03 μB/f.u.

```
&SYSTEM
  ibrav = 0, nat = 6, ntyp = 4
/
ATOMIC_SPECIES
Pr 140.91 Pr.upf
Sb 121.76 Sb.upf
Tm 168.93 Tm.upf
Zr 91.22 Zr.upf
ATOMIC_POSITIONS angstrom
Pr -2.5411 4.5252 1.5149
Sb -1.0371 1.8469 0.6183
Sb -6.8889 12.2679 4.1068
Tm -5.3320 9.4953 3.1787
Zr -0.4812 -0.8785 1.9135
Zr -1.8605 -0.7419 -0.8081
CELL_PARAMETERS angstrom
-2.5769 6.9085 5.0801
-5.3354 7.1817 -0.3632
1.6398 -8.7108 -1.2682
```

Material: PrUSb
Method: DFT, GGA-PBE
State: relaxed Values from VASP.

Computed properties:
DFT total energy = -6.145 eV per atom
SG = F-43m (216)
Total moment = 4.43 μB/f.u.

```
&SYSTEM
  ibrav = 0, nat = 3, ntyp = 3
/
ATOMIC_SPECIES
Pr 140.91 Pr.upf
Sb 121.76 Sb.upf
U 238.03 U.upf
ATOMIC_POSITIONS angstrom
Pr 1.7879 1.7879 1.7879
Sb 5.3637 5.3637 5.3637
U 0.0000 0.0000 0.0000
CELL_PARAMETERS angstrom
0.0000 3.5758 3.5758
3.5758 0.0000 3.5758
3.5758 3.5758 0.0000
```